Record 1
# TaInAu | the Alexandria database | meta-GGA SCAN | single point on PBEsol structure
data_TaInAu
_space_group_name_H-M_alt 'P 3 m 1'
_space_group_IT_number 156
_cell_length_a 4.6194
_cell_length_b 4.6194
_cell_length_c 2.9593
_cell_angle_alpha 90.00
_cell_angle_beta 90.00
_cell_angle_gamma 120.00
loop_
_space_group_symop_operation_xyz
'x,y,z'
'-y,x-y,z'
'-x+y,-x,z'
'-y,-x,z'
'-x+y,y,z'
'x,x-y,z'
loop_
_atom_site_label
_atom_site_type_symbol
_atom_site_fract_x
_atom_site_fract_y
_atom_site_fract_z
Ta1 Ta 0.0000 0.0000 0.0000
In1 In 0.3333 0.6667 0.5008
Au1 Au 0.6667 0.3333 0.4982
# Formation energy (eV per atom): 0.14
# Crystal system: trigonal


Record 2
# TbInAu2 | the Alexandria database | meta-GGA SCAN | single point on PBEsol structure
data_TbInAu2
_space_group_name_H-M_alt 'F m -3 m'
_space_group_IT_number 225
_space_group_name_Hall '-F 4 2 3'
_cell_length_a 6.877
_cell_length_b 6.877
_cell_length_c 6.877
_cell_angle_alpha 90.00
_cell_angle_beta 90.00
_cell_angle_gamma 90.00
loop_
_atom_site_label
_atom_site_type_symbol
_atom_site_fract_x
_atom_site_fract_y
_atom_site_fract_z
Tb1 Tb 0.000 0.000 0.000
In1 In 0.000 0.000 0.500
Au1 Au 0.250 0.250 0.250
# Formation energy (eV per atom): -0.86
# Crystal system: cubic


Record 3
# InTcAu2 | the Alexandria database | meta-GGA SCAN | single point on PBEsol structure
data_InTcAu2
_space_group_name_H-M_alt 'P 4/m m m'
_space_group_IT_number 123
_space_group_name_Hall '-P 4 2'
_cell_length_a 2.896
_cell_length_b 2.896
_cell_length_c 8.086
_cell_angle_alpha 90.00
_cell_angle_beta 90.00
_cell_angle_gamma 90.00
loop_
_atom_site_label
_atom_site_type_symbol
_atom_site_fract_x
_atom_site_fract_y
_atom_site_fract_z
In1 In 0.000 0.000 0.000
Tc1 Tc 0.000 0.000 0.500
Au1 Au 0.500 0.500 0.264
# Formation energy (eV per atom): 0.25
# Crystal system: tetragonal


Record 4
# InTcAu2 | the Alexandria database | meta-GGA SCAN | single point on PBEsol structure
data_InTcAu2
_space_group_name_H-M_alt 'F -4 3 m'
_space_group_IT_number 216
_space_group_name_Hall 'F -4 2 3'
_cell_length_a 6.477
_cell_length_b 6.477
_cell_length_c 6.477
_cell_angle_alpha 90.00
_cell_angle_beta 90.00
_cell_angle_gamma 90.00
loop_
_atom_site_label
_atom_site_type_symbol
_atom_site_fract_x
_atom_site_fract_y
_atom_site_fract_z
In1 In 0.000 0.000 0.000
Tc1 Tc 0.250 0.250 0.750
Au1 Au 0.000 0.000 0.500
Au2 Au 0.250 0.250 0.250
# Formation energy (eV per atom): 0.27
# Crystal system: cubic


Record 5
# InTe2Au | the Alexandria database | meta-GGA SCAN | single point on PBEsol structure
data_InTe2Au
_space_group_name_H-M_alt 'P 4/m m m'
_space_group_IT_number 123
_space_group_name_Hall '-P 4 2'
_cell_length_a 3.635
_cell_length_b 3.635
_cell_length_c 7.442
_cell_angle_alpha 90.00
_cell_angle_beta 90.00
_cell_angle_gamma 90.00
loop_
_atom_site_label
_atom_site_type_symbol
_atom_site_fract_x
_atom_site_fract_y
_atom_site_fract_z
In1 In 0.000 0.000 0.000
Te1 Te 0.500 0.500 0.281
Au1 Au 0.000 0.000 0.500
# Uncorrected energy (eV per atom): -44.05
# Crystal system: tetragonal


Record 6
# InTeAu2 | the Alexandria database | meta-GGA SCAN | single point on PBEsol structure
data_InTeAu2
_space_group_name_H-M_alt 'P 4/m m m'
_space_group_IT_number 123
_space_group_name_Hall '-P 4 2'
_cell_length_a 3.823
_cell_length_b 3.823
_cell_length_c 5.821
_cell_angle_alpha 90.00
_cell_angle_beta 90.00
_cell_angle_gamma 90.00
loop_
_atom_site_label
_atom_site_type_symbol
_atom_site_fract_x
_atom_site_fract_y
_atom_site_fract_z
In1 In 0.000 0.000 0.000
Te1 Te 0.000 0.000 0.500
Au1 Au 0.500 0.500 0.243
# Uncorrected energy (eV per atom): -52.18
# Crystal system: tetragonal


Record 7
# In2TeAu | the Alexandria database | meta-GGA SCAN | single point on PBEsol structure
data_In2TeAu
_space_group_name_H-M_alt 'I -4 m 2'
_space_group_IT_number 119
_space_group_name_Hall 'I -4 -2'
_cell_length_a 4.821
_cell_length_b 4.821
_cell_length_c 8.256
_cell_angle_alpha 90.00
_cell_angle_beta 90.00
_cell_angle_gamma 90.00
loop_
_atom_site_label
_atom_site_type_symbol
_atom_site_fract_x
_atom_site_fract_y
_atom_site_fract_z
In1 In 0.000 0.000 0.000
In2 In 0.000 0.500 0.250
Te1 Te 0.000 0.000 0.500
Au1 Au 0.000 0.500 0.750
# Uncorrected energy (eV per atom): -43.19
# Crystal system: tetragonal


Record 8
# InTeAu2 | the Alexandria database | meta-GGA SCAN | single point on PBEsol structure
data_InTeAu2
_space_group_name_H-M_alt 'C m m m'
_space_group_IT_number 65
_space_group_name_Hall '-C 2 2'
_cell_length_a 7.885
_cell_length_b 7.940
_cell_length_c 2.934
_cell_angle_alpha 90.00
_cell_angle_beta 90.00
_cell_angle_gamma 90.00
loop_
_atom_site_label
_atom_site_type_symbol
_atom_site_fract_x
_atom_site_fract_y
_atom_site_fract_z
In1 In 0.000 0.000 0.000
Te1 Te 0.000 0.500 0.000
Au1 Au 0.250 0.250 0.000
# Uncorrected energy (eV per atom): -52.30
# Crystal system: orthorhombic


Record 9
# InTeAu2 | the Alexandria database | meta-GGA SCAN | single point on PBEsol structure
data_InTeAu2
_space_group_name_H-M_alt 'R -3 m'
_space_group_IT_number 166
_space_group_name_Hall '-R 3 2"'
_cell_length_a 4.1260
_cell_length_b 4.1260
_cell_length_c 18.3219
_cell_angle_alpha 90.00
_cell_angle_beta 90.00
_cell_angle_gamma 120.00
loop_
_atom_site_label
_atom_site_type_symbol
_atom_site_fract_x
_atom_site_fract_y
_atom_site_fract_z
In1 In 0.0000 0.0000 0.0000
Te1 Te 0.0000 0.0000 0.5000
Au1 Au 0.0000 0.0000 0.2535
# Uncorrected energy (eV per atom): -52.42
# Crystal system: trigonal


Record 10
# In2TeAu | the Alexandria database | meta-GGA SCAN | single point on PBEsol structure
data_In2TeAu
_space_group_name_H-M_alt 'R -3 m'
_space_group_IT_number 166
_space_group_name_Hall '-R 3 2"'
_cell_length_a 4.1095
_cell_length_b 4.1095
_cell_length_c 20.7209
_cell_angle_alpha 90.00
_cell_angle_beta 90.00
_cell_angle_gamma 120.00
loop_
_atom_site_label
_atom_site_type_symbol
_atom_site_fract_x
_atom_site_fract_y
_atom_site_fract_z
In1 In 0.0000 0.0000 0.2398
Te1 Te 0.0000 0.0000 0.0000
Au1 Au 0.0000 0.0000 0.5000
# Uncorrected energy (eV per atom): -43.55
# Crystal system: trigonal


Record 11
# InTe2Au | the Alexandria database | meta-GGA SCAN | single point on PBEsol structure
data_InTe2Au
_space_group_name_H-M_alt 'I -4 m 2'
_space_group_IT_number 119
_space_group_name_Hall 'I -4 -2'
_cell_length_a 5.240
_cell_length_b 5.240
_cell_length_c 7.048
_cell_angle_alpha 90.00
_cell_angle_beta 90.00
_cell_angle_gamma 90.00
loop_
_atom_site_label
_atom_site_type_symbol
_atom_site_fract_x
_atom_site_fract_y
_atom_site_fract_z
In1 In 0.000 0.000 0.000
Te1 Te 0.000 0.000 0.500
Te2 Te 0.000 0.500 0.250
Au1 Au 0.000 0.500 0.750
# Uncorrected energy (eV per atom): -44.04
# Crystal system: tetragonal


Record 12
# InTeAu2 | the Alexandria database | meta-GGA SCAN | single point on PBEsol structure
data_InTeAu2
_space_group_name_H-M_alt 'P 4/m m m'
_space_group_IT_number 123
_space_group_name_Hall '-P 4 2'
_cell_length_a 3.987
_cell_length_b 3.987
_cell_length_c 5.722
_cell_angle_alpha 90.00
_cell_angle_beta 90.00
_cell_angle_gamma 90.00
loop_
_atom_site_label
_atom_site_type_symbol
_atom_site_fract_x
_atom_site_fract_y
_atom_site_fract_z
In1 In 0.000 0.000 0.000
Te1 Te 0.500 0.500 0.500
Au1 Au 0.000 0.000 0.500
Au2 Au 0.500 0.500 0.000
# Uncorrected energy (eV per atom): -52.44
# Crystal system: tetragonal


How do the records compare in M_tot? In the order shown, they have 0.00; 0.00; 0.13; 0.60; 0.00; 0.00; 0.00; 0.00; 0.00; 0.00; 0.00; 0.00 μB/atom.
How do the records compare in Fermi-level density of states? In the order shown, they have 0.7982; 0.3977; 0.6187; 0.6228; 0.5517; 0.4562; 0.4856; 0.5246; 0.4002; 0.3544; 0.5426; 0.2914 states/eV/atom.